The following is a PBE-GGA calculation of crystalline LaTlTe2 at its relaxed geometry, from the Alexandria database.

```
4
Lattice="-0.6581 -0.8948 -4.7451 2.5306 -3.6307 0.3337 -3.6183 -5.1014 1.4638" Properties=species:S:1:pos:R:3 pbc="T T T"
Te -0.8175 -8.2155 1.6626
Te -1.0752 -3.2833 -1.7343
Tl 0.3893 -4.7408 0.8400
La -1.8739 -6.4856 -1.0197
```

Space-group type = No. 38
Total DFT energy (no corrections) = -4.4830 eV/atom
Formation energy without anion corrections = -1088.8 meV per atom

---

The following is a PBE-GGA calculation of crystalline La3TlTe at its relaxed geometry, from the Alexandria database.

```
5
Lattice="-5.6712 1.4785 -1.1004 0.2456 -2.9223 -5.1922 -1.8266 -4.9833 2.7183" Properties=species:S:1:pos:R:3 pbc="T T T"
Te 0.0000 0.0000 0.0000
La -2.8356 0.7392 -0.5502
La -0.9133 -2.4917 1.3591
La 0.1228 -1.4611 -2.5961
Tl -3.6261 -3.2135 -1.7872
```

Space-group type = No. 221
Total DFT energy (no corrections) = -4.3736 eV/atom
Formation energy without anion corrections = -315.6 meV per atom

---

The following is a PBE-GGA calculation of crystalline La3TlTe at its relaxed geometry, from the Alexandria database.

```
10
Lattice="-3.8655 -3.8983 0.1018 5.3077 -1.3905 0.2102 -0.3319 0.6622 12.7605" Properties=species:S:1:pos:R:3 pbc="T T T"
La 2.2291 -2.1848 0.9757
La -0.9946 -2.6897 7.3198
La 2.1215 -1.9701 5.1133
La -1.1022 -2.4750 11.4574
La -0.2406 0.4800 9.2501
La -0.0747 0.1489 2.8698
Tl -0.8825 -2.9132 3.0122
Tl 2.0092 -1.7462 9.4287
Te -0.3236 0.6456 12.4409
Te -0.1577 0.3145 6.0606
```

Space-group type = No. 194
Total DFT energy (no corrections) = -4.7724 eV/atom
Formation energy without anion corrections = -714.3 meV per atom

---

The following is a PBE-GGA calculation of crystalline La2TlTe2 at its relaxed geometry, from the Alexandria database.

```
10
Lattice="-2.5577 8.2913 -1.8738 -8.5000 -2.5117 0.4883 -0.0345 0.9003 4.0306" Properties=species:S:1:pos:R:3 pbc="T T T"
La -5.1105 6.5894 0.6004
La -8.8748 3.7590 1.2005
La -5.9818 0.0904 2.0446
La -2.2174 2.9208 1.4446
Te -2.8511 4.9674 -1.1339
Te -8.2067 0.8121 -0.2516
Te -3.4051 0.2801 -0.0917
Te -7.6526 5.4994 -1.2938
Tl -5.5289 2.8898 -0.6927
Tl 0.0000 0.0000 0.0000
```

Space-group type = No. 127
Total DFT energy (no corrections) = -4.7773 eV/atom
Formation energy without anion corrections = -1076.4 meV per atom

---

The following is a PBE-GGA calculation of crystalline LaTlTe2 at its relaxed geometry, from the Alexandria database.

```
4
Lattice="4.0376 0.0000 0.0000 0.0000 4.0348 0.0756 0.0000 3.9066 8.2974" Properties=species:S:1:pos:R:3 pbc="T T T"
La 2.0188 5.9561 6.2798
Te 0.0000 3.9719 4.4114
Te 0.0000 3.9055 8.0726
Tl 2.0188 1.9854 2.0933
```

Space-group type = No. 10
Total DFT energy (no corrections) = -4.4163 eV/atom
Formation energy without anion corrections = -1022.0 meV per atom

---

The following is a PBE-GGA calculation of crystalline LaTlTe at its relaxed geometry, from the Alexandria database.

```
3
Lattice="5.2784 0.0000 0.0000 -2.6392 4.5713 0.0000 0.0000 0.0000 3.9564" Properties=species:S:1:pos:R:3 pbc="T T T"
Tl 0.0000 3.0475 2.1727
La 0.0000 0.0000 3.9333
Te 2.6392 1.5238 1.8067
```

Space-group type = No. 156
Total DFT energy (no corrections) = -4.0884 eV/atom
Formation energy without anion corrections = -610.0 meV per atom

---

The following is a PBE-GGA calculation of crystalline LaTl2Te at its relaxed geometry, from the Alexandria database.

```
4
Lattice="-0.2502 -0.6595 -4.2264 4.0085 -1.5284 0.0012 1.5075 -8.0269 1.1634" Properties=species:S:1:pos:R:3 pbc="T T T"
Tl 3.9567 -1.6987 0.0309
Tl 1.2879 -2.6489 -1.8349
Te 4.1257 -7.1771 -1.2963
La 2.6621 -4.9961 0.6221
```

Space-group type = No. 6
Total DFT energy (no corrections) = -3.8376 eV/atom
Formation energy without anion corrections = -637.2 meV per atom

---

The following is a PBE-GGA calculation of crystalline LaTl5Te4 at its relaxed geometry, from the Alexandria database.

```
10
Lattice="4.5659 0.0000 -1.1391 -0.5363 7.9399 -2.1497 0.2413 -0.0664 10.6882" Properties=species:S:1:pos:R:3 pbc="T T T"
Te -0.1268 6.4923 -0.5085
Te 1.4689 5.4010 5.8881
Te 4.3978 1.3812 7.9079
Te 2.8021 2.4725 1.5113
Tl 0.9232 0.8836 3.7008
Tl 3.6756 3.1010 5.0127
Tl 3.3477 6.9899 3.6986
Tl 0.5954 4.7725 2.3867
Tl 2.0148 3.9699 -1.6444
La 2.2830 0.0000 -0.5695
```

Space-group type = No. 12
Total DFT energy (no corrections) = -3.5502 eV/atom
Formation energy without anion corrections = -617.7 meV per atom

---

The following is a PBE-GGA calculation of crystalline La5Tl2Te at its relaxed geometry, from the Alexandria database.

```
16
Lattice="-2.0298 2.4068 -3.5937 -6.7770 2.1942 5.2973 6.3881 10.8685 3.6707" Properties=species:S:1:pos:R:3 pbc="T T T"
Tl -3.8482 4.3947 1.9407
Tl -2.9073 10.5584 5.5373
Tl 1.4295 11.0747 3.4336
Tl 0.4886 4.9110 -0.1630
La 3.9897 8.8299 3.6601
La 3.1940 5.4342 1.8353
La 0.6952 8.0572 1.8274
La -3.1139 7.4122 3.5469
La -3.3885 1.0971 2.6487
La -0.5762 3.8398 2.8971
La -1.9919 2.4589 -0.4042
La -4.3786 4.2327 5.3079
La 0.1873 9.2228 6.0709
La -0.4268 13.0105 5.7785
Te -0.1944 6.5313 4.4840
Te 0.0000 0.0000 0.0000
```

Space-group type = No. 55
Total DFT energy (no corrections) = -4.6210 eV/atom
Formation energy without anion corrections = -557.1 meV per atom

---

The following is a PBE-GGA calculation of crystalline La4TlTe3 at its relaxed geometry, from the Alexandria database.

```
8
Lattice="-6.4986 -0.2511 -0.0418 0.0922 -1.3241 -6.3667 3.4407 -5.5821 4.5325" Properties=species:S:1:pos:R:3 pbc="T T T"
Te -3.2032 -0.7876 -3.2043
Te 0.1649 -3.8469 -2.5192
Te -3.1305 -3.3104 0.6432
La 0.1186 -3.1813 0.6633
La 0.2837 -7.0318 -1.8551
La 3.4868 -6.2442 1.3491
La -3.0842 -3.9760 -2.5393
Tl 0.0000 0.0000 0.0000
```

Space-group type = No. 139
Total DFT energy (no corrections) = -5.2555 eV/atom
Formation energy without anion corrections = -1317.9 meV per atom

---

The following is a PBE-GGA calculation of crystalline LaTlTe at its relaxed geometry, from the Alexandria database.

```
3
Lattice="-2.7558 1.5960 -2.8333 -1.4366 -1.8572 3.5576 0.1842 6.1499 3.2850" Properties=species:S:1:pos:R:3 pbc="T T T"
Tl -1.7539 3.3827 3.6114
Te -2.2591 2.3462 0.3126
La 0.0048 0.1597 0.0853
```

Space-group type = No. 156
Total DFT energy (no corrections) = -4.0077 eV/atom
Formation energy without anion corrections = -529.2 meV per atom

---

The following is a PBE-GGA calculation of crystalline La2TlTe2 at its relaxed geometry, from the Alexandria database.

```
5
Lattice="5.5452 0.0000 0.0000 0.0000 5.5452 0.0000 2.7726 2.7726 6.6991" Properties=species:S:1:pos:R:3 pbc="T T T"
La 2.7726 5.5452 3.3496
La 5.5452 2.7726 3.3496
Te 5.5452 5.5452 4.8714
Te 2.7726 2.7726 1.8278
Tl 0.0000 0.0000 0.0000
```

Space-group type = No. 139
Total DFT energy (no corrections) = -4.4903 eV/atom
Formation energy without anion corrections = -789.4 meV per atom